# 1
This record from Alexandria describes crystalline CdBSe2 at its relaxed geometry. The functional is PBE.

Computed properties:
* energy relative to the elements, uncorrected: 0.5 eV/f.u.
* excess energy over the best structure of this formula in the dataset: 42.6 meV/atom
* N(E_F): 1.5 states/eV/f.u.

Unit cell a=7.067 b=7.067 c=7.067 alpha=37.96 beta=37.96 gamma=37.96
Sites, in units of the cell vectors:
1 Se 0.907 0.907 0.907
2 Se 0.093 0.093 0.093
3 B 0.000 0.000 0.000
4 Cd 0.500 0.500 0.500

---

# 2
This record from Alexandria describes crystalline CdB3Se at its relaxed geometry. The functional is PBE.

Computed properties:
* energy relative to the elements, uncorrected: 11.0 eV/f.u.
* N(E_F): 1.8 states/eV/f.u.

Unit cell a=4.423 b=4.423 c=4.423 alpha=90.00 beta=90.00 gamma=90.00
Sites, in units of the cell vectors:
1 B 0.000 0.000 0.500
2 B 0.500 0.000 0.000
3 B 0.000 0.500 0.000
4 Se 0.500 0.500 0.500
5 Cd 0.000 0.000 0.000

---

# 3
This record from Alexandria describes crystalline CdBSe2 at its relaxed geometry. The functional is PBE.

Computed properties:
* energy relative to the elements, uncorrected: 3.8 eV/f.u.
* excess energy over the best structure of this formula in the dataset: 877.8 meV/atom
* N(E_F): 2.0 states/eV/f.u.

Unit cell a=4.777 b=4.777 c=4.777 alpha=60.00 beta=60.00 gamma=60.00
Sites, in units of the cell vectors:
1 B 0.000 0.000 0.000
2 Se 0.750 0.750 0.750
3 Se 0.250 0.250 0.250
4 Cd 0.500 0.500 0.500

---

# 4
This record from Alexandria describes crystalline Cd2SiB at its relaxed geometry. The functional is PBE.

Computed properties:
* energy relative to the elements, uncorrected: 3.8 eV/f.u.
* excess energy over the best structure of this formula in the dataset: 0.0 meV/atom
* N(E_F): 1.7 states/eV/f.u.

Unit cell a=4.327 b=4.327 c=8.569 alpha=75.38 beta=75.38 gamma=90.00
Sites, in units of the cell vectors:
1 Cd 0.587 0.125 0.250
2 Cd 0.875 0.837 0.750
3 Cd 0.375 0.413 0.750
4 Cd 0.163 0.625 0.250
5 B 0.500 0.500 0.000
6 B 0.250 0.750 0.500
7 Si 0.750 0.250 0.500
8 Si 0.000 0.000 0.000

---

# 5
This record from Alexandria describes crystalline CdSi2B at its relaxed geometry. The functional is PBE.

Computed properties:
* energy relative to the elements, uncorrected: 4.9 eV/f.u.
* excess energy over the best structure of this formula in the dataset: 782.6 meV/atom
* N(E_F): 1.6 states/eV/f.u.

Unit cell a=4.467 b=4.467 c=4.467 alpha=60.00 beta=60.00 gamma=60.00
Sites, in units of the cell vectors:
1 Cd 0.500 0.500 0.500
2 Si 0.250 0.250 0.250
3 Si 0.750 0.750 0.750
4 B 0.000 0.000 0.000

---

# 6
This record from Alexandria describes crystalline Cd2SiB at its relaxed geometry. The functional is PBE.

Computed properties:
* energy relative to the elements, uncorrected: 4.3 eV/f.u.
* excess energy over the best structure of this formula in the dataset: 111.3 meV/atom
* N(E_F): 2.1 states/eV/f.u.

Unit cell a=4.656 b=4.656 c=4.656 alpha=60.00 beta=60.00 gamma=60.00
Sites, in units of the cell vectors:
1 B 0.000 0.000 0.000
2 Cd 0.250 0.250 0.250
3 Cd 0.750 0.750 0.750
4 Si 0.500 0.500 0.500

---

# 7
This record from Alexandria describes crystalline CdSi2B at its relaxed geometry. The functional is PBE.

Computed properties:
* energy relative to the elements, uncorrected: 1.8 eV/f.u.
* excess energy over the best structure of this formula in the dataset: 0.0 meV/atom
* N(E_F): 1.7 states/eV/f.u.

Unit cell a=5.604 b=5.604 c=6.106 alpha=62.68 beta=62.68 gamma=90.00
Sites, in units of the cell vectors:
1 B 0.500 0.500 0.000
2 B 0.250 0.750 0.500
3 Cd 0.750 0.250 0.500
4 Cd 0.000 0.000 0.000
5 Si 0.526 0.125 0.250
6 Si 0.875 0.776 0.750
7 Si 0.224 0.625 0.250
8 Si 0.375 0.474 0.750

---

# 8
This record from Alexandria describes crystalline TaCd2SiB at its relaxed geometry. The functional is PBE.

Computed properties:
* energy relative to the elements, uncorrected: 3.3 eV/f.u.
* N(E_F): 2.4 states/eV/f.u.

Unit cell a=4.421 b=4.512 c=4.421 alpha=90.00 beta=90.00 gamma=90.00
Sites, in units of the cell vectors:
1 B 0.000 0.000 0.000
2 Ta 0.000 0.500 0.000
3 Si 0.500 0.500 0.500
4 Cd 0.000 0.000 0.500
5 Cd 0.500 0.000 0.000

---

# 9
This record from Alexandria describes crystalline YCdSiB2 at its relaxed geometry. The functional is PBE.

Computed properties:
* energy relative to the elements, uncorrected: 7.2 eV/f.u.
* N(E_F): 3.4 states/eV/f.u.

Unit cell a=4.214 b=5.848 c=4.214 alpha=90.00 beta=90.00 gamma=90.00
Sites, in units of the cell vectors:
1 Y 0.000 0.500 0.000
2 Si 0.500 0.500 0.500
3 B 0.500 0.000 0.000
4 B 0.000 0.000 0.500
5 Cd 0.000 0.000 0.000

---

# 10
This record from Alexandria describes crystalline ZrCdSiB2 at its relaxed geometry. The functional is PBE.

Computed properties:
* energy relative to the elements, uncorrected: 5.1 eV/f.u.
* N(E_F): 2.4 states/eV/f.u.

Unit cell a=4.088 b=5.042 c=4.088 alpha=90.00 beta=90.00 gamma=90.00
Sites, in units of the cell vectors:
1 Zr 0.000 0.500 0.000
2 B 0.000 0.000 0.500
3 B 0.500 0.000 0.000
4 Si 0.000 0.000 0.000
5 Cd 0.500 0.500 0.500

---

# 11
This record from Alexandria describes crystalline CdSnB2 at its relaxed geometry. The functional is PBE.

Computed properties:
* ΔH_f (0 K): 5.89 eV/f.u.
* excess energy over the best structure of this formula in the dataset: 304.6 meV/atom
* N(E_F): 2.0 states/eV/f.u.

Unit cell a=4.469 b=4.469 c=4.469 alpha=60.00 beta=60.00 gamma=60.00
Sites, in units of the cell vectors:
1 Sn 0.500 0.500 0.500
2 Cd 0.000 0.000 0.000
3 B 0.750 0.750 0.750
4 B 0.250 0.250 0.250

---

# 12
This record from Alexandria describes crystalline CdSn3B at its relaxed geometry. The functional is PBE.

Computed properties:
* ΔH_f (0 K): 2.68 eV/f.u.
* excess energy over the best structure of this formula in the dataset: 0.0 meV/atom
* N(E_F): 2.5 states/eV/f.u.

Unit cell a=4.920 b=4.920 c=4.920 alpha=90.00 beta=90.00 gamma=90.00
Sites, in units of the cell vectors:
1 Sn 0.000 0.000 0.500
2 Sn 0.500 0.000 0.000
3 Sn 0.000 0.500 0.000
4 Cd 0.500 0.500 0.500
5 B 0.000 0.000 0.000

---

# 13
This record from Alexandria describes crystalline CdSnB2 at its relaxed geometry. The functional is PBE.

Computed properties:
* ΔH_f (0 K): 4.67 eV/f.u.
* excess energy over the best structure of this formula in the dataset: 0.0 meV/atom
* N(E_F): 1.9 states/eV/f.u.

Unit cell a=5.585 b=5.585 c=6.278 alpha=63.59 beta=63.59 gamma=90.00
Sites, in units of the cell vectors:
1 B 0.875 0.889 0.750
2 B 0.639 0.125 0.250
3 B 0.111 0.625 0.250
4 B 0.375 0.361 0.750
5 Cd 0.500 0.500 0.000
6 Cd 0.250 0.750 0.500
7 Sn 0.750 0.250 0.500
8 Sn 0.000 0.000 0.000

---

# 14
This record from Alexandria describes crystalline CdSn3B at its relaxed geometry. The functional is PBE.

Computed properties:
* ΔH_f (0 K): 7.41 eV/f.u.
* excess energy over the best structure of this formula in the dataset: 944.6 meV/atom
* N(E_F): 3.7 states/eV/f.u.

Unit cell a=5.494 b=5.494 c=5.494 alpha=90.00 beta=90.00 gamma=90.00
Sites, in units of the cell vectors:
1 Sn 0.000 0.000 0.500
2 Sn 0.000 0.500 0.000
3 Sn 0.500 0.000 0.000
4 Cd 0.000 0.000 0.000
5 B 0.500 0.500 0.500

---

# 15
This record from Alexandria describes crystalline ZrCdSnB2 at its relaxed geometry. The functional is PBE.

Computed properties:
* ΔH_f (0 K): 7.70 eV/f.u.
* N(E_F): 3.4 states/eV/f.u.

Unit cell a=4.257 b=5.707 c=4.257 alpha=90.00 beta=90.00 gamma=90.00
Sites, in units of the cell vectors:
1 Sn 0.000 0.500 0.000
2 B 0.500 0.000 0.000
3 B 0.000 0.000 0.500
4 Cd 0.000 0.000 0.000
5 Zr 0.500 0.500 0.500

---

# 16
This record from Alexandria describes crystalline SrCd3B at its relaxed geometry. The functional is PBE.

Computed properties:
* ΔH_f (0 K): 7.87 eV/f.u.
* excess energy over the best structure of this formula in the dataset: 1244.9 meV/atom
* N(E_F): 5.4 states/eV/f.u.

Unit cell a=6.443 b=6.443 c=6.443 alpha=90.00 beta=90.00 gamma=90.00
Last column: magnetic moment on the atom in μB.
Sites, in units of the cell vectors:
1 Cd 0.000 0.000 0.500  0.02
2 Cd 0.000 0.500 0.000  0.03
3 Cd 0.500 0.000 0.000  0.04
4 Sr 0.000 0.000 0.000  0.06
5 B 0.500 0.500 0.500  0.41

---

# 17
This record from Alexandria describes crystalline SrCd2B at its relaxed geometry. The functional is PBE.

Computed properties:
* ΔH_f (0 K): 1.77 eV/f.u.
* N(E_F): 2.4 states/eV/f.u.

Unit cell a=5.448 b=5.448 c=8.323 alpha=70.89 beta=70.89 gamma=90.00
Sites, in units of the cell vectors:
1 Cd 0.875 0.624 0.750
2 Cd 0.374 0.125 0.250
3 Cd 0.375 0.626 0.750
4 Cd 0.376 0.625 0.250
5 Sr 0.750 0.250 0.500
6 Sr 0.000 0.000 0.000
7 B 0.500 0.500 0.000
8 B 0.250 0.750 0.500

---

# 18
This record from Alexandria describes crystalline SrCd3B at its relaxed geometry. The functional is PBE.

Computed properties:
* ΔH_f (0 K): 1.64 eV/f.u.
* excess energy over the best structure of this formula in the dataset: 0.0 meV/atom
* N(E_F): 3.2 states/eV/f.u.

Unit cell a=4.869 b=4.869 c=4.869 alpha=90.00 beta=90.00 gamma=90.00
Sites, in units of the cell vectors:
1 B 0.000 0.000 0.000
2 Cd 0.500 0.000 0.000
3 Cd 0.000 0.000 0.500
4 Cd 0.000 0.500 0.000
5 Sr 0.500 0.500 0.500

---

# 19
This record from Alexandria describes crystalline Sr2CdB at its relaxed geometry. The functional is PBE.

Computed properties:
* ΔH_f (0 K): 2.17 eV/f.u.
* excess energy over the best structure of this formula in the dataset: 133.7 meV/atom
* N(E_F): 1.3 states/eV/f.u.

Unit cell a=8.317 b=8.317 c=6.998 alpha=53.54 beta=53.54 gamma=90.00
Last column: magnetic moment on the atom in μB.
Sites, in units of the cell vectors:
1 Sr 0.192 0.625 0.250  0.05
2 Sr 0.875 0.808 0.750  0.06
3 Sr 0.375 0.442 0.750  0.07
4 Sr 0.558 0.125 0.250  0.06
5 Cd 0.750 0.250 0.500  -0.01
6 Cd 0.000 0.000 0.000  -0.01
7 B 0.250 0.750 0.500  0.34
8 B 0.500 0.500 0.000  0.34

---

# 20
This record from Alexandria describes crystalline SrCdB12 at its relaxed geometry. The functional is PBE.

Computed properties:
* ΔH_f (0 K): -1.34 eV/f.u.
* N(E_F): 1.5 states/eV/f.u.

Unit cell a=5.909 b=5.909 c=5.909 alpha=60.00 beta=60.00 gamma=60.00
Sites, in units of the cell vectors:
1 B 0.601 0.899 0.899
2 B 0.899 0.601 0.601
3 B 0.101 0.399 0.101
4 B 0.399 0.399 0.101
5 B 0.899 0.899 0.601
6 B 0.101 0.399 0.399
7 B 0.399 0.101 0.101
8 B 0.601 0.899 0.601
9 B 0.899 0.601 0.899
10 B 0.601 0.601 0.899
11 B 0.399 0.101 0.399
12 B 0.101 0.101 0.399
13 Sr 0.000 0.000 0.000
14 Cd 0.500 0.500 0.500

---

The records above yield total magnetic moment values of 0.00, 0.00, 0.00, 0.00, 0.00, 0.00, 0.00, 0.00, 0.00, 0.00, 0.00, 0.00, 0.00, 0.00, 0.00, 2.00, 0.00, 0.00, 0.97, 0.00 μB/f.u., respectively.